Record 1
The following is a DFT calculation (PBE-GGA) of a geometry-optimized Ca2PAu2 structure.

The structure in CIF format:
```
data_Ca2PAu2
_chemical_formula_sum 'Ca4 P2 Au4'
_cell_length_a 5.776
_cell_length_b 5.776
_cell_length_c 7.678
_cell_angle_alpha 90.00
_cell_angle_beta 90.00
_cell_angle_gamma 90.00
_symmetry_space_group_name_H-M 'I 4/m m m'
_symmetry_Int_Tables_number 139
_symmetry_space_group_name_Hall '-I 4 2'
loop_
_atom_site_label
_atom_site_type_symbol
_atom_site_fract_x
_atom_site_fract_y
_atom_site_fract_z
Ca1 Ca 0.000 0.500 0.250
P1 P 0.000 0.000 0.000
Au1 Au 0.000 0.000 0.329
```

## Properties
total energy = -3.693 eV/atom
offset from the most stable computed form = 0.171 eV/atom
size of the total moment = 0.0 μB/f.u.
energy of formation = -0.500 eV per atom



Record 2
The following is a DFT calculation (PBE-GGA) of a geometry-optimized Ac5Cd2Hg2 structure.

The structure in CIF format:
```
data_Ac5Cd2Hg2
_chemical_formula_sum 'Ac20 Cd8 Hg8'
_cell_length_a 18.318
_cell_length_b 8.419
_cell_length_c 8.479
_cell_angle_alpha 90.00
_cell_angle_beta 90.00
_cell_angle_gamma 90.00
_symmetry_space_group_name_H-M 'C m c e'
_symmetry_Int_Tables_number 64
_symmetry_space_group_name_Hall '-C 2ac 2'
loop_
_atom_site_label
_atom_site_type_symbol
_atom_site_fract_x
_atom_site_fract_y
_atom_site_fract_z
Ac1 Ac 0.000 0.000 0.000
Ac2 Ac 0.139 0.179 0.325
Cd1 Cd 0.215 0.000 0.000
Hg1 Hg 0.000 0.124 0.626
```

## Properties
total energy = -2.827 eV/atom
size of the total moment = 0.0 μB/f.u.
energy of formation = -0.274 eV per atom



Record 3
The following is a DFT calculation (PBE-GGA) of a geometry-optimized K2Au structure.

The structure in CIF format:
```
data_K2Au
_chemical_formula_sum 'K2 Au1'
_cell_length_a 4.6779
_cell_length_b 4.6779
_cell_length_c 7.9887
_cell_angle_alpha 90.00
_cell_angle_beta 90.00
_cell_angle_gamma 120.00
_symmetry_space_group_name_H-M 'P -3 m 1'
_symmetry_Int_Tables_number 164
_symmetry_space_group_name_Hall '-P 3 2"'
loop_
_atom_site_label
_atom_site_type_symbol
_atom_site_fract_x
_atom_site_fract_y
_atom_site_fract_z
K1 K 0.3333 0.6667 0.2441
Au1 Au 0.0000 0.0000 0.0000
```

## Properties
total energy = -1.995 eV/atom
size of the total moment = 0.0 μB/f.u.
energy of formation = -0.171 eV per atom